[1]
12
Lattice="7.605 0.207 0.000 2.340 7.230 0.000 1.170 3.615 6.586" Properties=species:S:1:pos:R:3 comment="CeHo5Sb6 PBE relaxed" dft_energy_ev_per_atom=-5.57 formation_energy_uncorrected_ev_per_atom=-1.103 pbc="T T T"
Sb 4.842 9.071 4.369
Ho 4.972 3.719 4.413
Ho 6.142 7.334 2.173
Sb 7.443 5.597 4.369
Sb 3.672 5.456 2.217
Ho 1.170 3.615 2.201
Ho 2.340 7.230 4.385
Ho 4.972 3.719 0.000
Sb 2.499 1.883 0.000
Sb 6.273 1.982 2.217
Sb 7.445 5.554 0.000
Ce 0.000 0.000 0.000



[2]
7
Lattice="-3.846 -0.550 1.923 -0.935 -3.189 -2.783 4.750 -7.747 7.283" Properties=species:S:1:pos:R:3 comment="Ce2HoSb4 PBE relaxed" dft_energy_ev_per_atom=-5.48 formation_energy_uncorrected_ev_per_atom=-0.778 pbc="T T T"
Ce 1.465 -5.801 6.156
Sb 3.413 -7.923 4.558
Sb 2.375 -3.874 3.641
Sb -0.016 -5.743 3.211
Ho -2.390 -1.870 -0.430
Sb -1.053 -1.694 2.295
Ce 0.894 -3.816 0.697



[3]
22
Lattice="8.730 0.080 -0.154 0.153 8.729 -0.154 -0.081 -0.080 8.731" Properties=species:S:1:pos:R:3 comment="Ce4HoSb6 PBE relaxed" dft_energy_ev_per_atom=-5.72 formation_energy_uncorrected_ev_per_atom=-0.895 pbc="T T T"
Ce 6.533 3.146 7.350
Ce 7.529 2.222 2.984
Sb 5.882 0.627 0.574
Sb 0.733 2.853 0.517
Sb 5.106 3.817 1.357
Ce 2.160 2.142 6.471
Sb 4.925 1.512 4.940
Sb 1.543 3.656 3.694
Sb 8.108 0.709 5.723
Ho 4.401 4.365 4.211
Ce 1.273 6.507 5.439
Ce 2.269 5.584 1.073
Ho 0.000 0.000 0.000
Sb 0.694 8.020 2.700
Sb 8.070 5.877 7.906
Sb 7.260 5.074 4.729
Sb 2.920 8.102 7.849
Ce 3.156 1.219 2.106
Sb 3.878 7.217 3.483
Ce 5.646 7.510 6.317
Sb 3.697 4.912 7.066
Ce 6.642 6.587 1.952



[4]
4
Lattice="3.968 0.000 0.000 1.984 3.436 0.000 1.984 1.145 9.636" Properties=species:S:1:pos:R:3 comment="CeHo2Sb PBE relaxed" e_above_lowest_polymorph_ev_per_atom=0.236 dft_energy_ev_per_atom=-5.04 formation_energy_uncorrected_ev_per_atom=-0.238 pbc="T T T"
Ho 1.984 1.145 7.704
Ho 1.984 1.145 1.936
Ce 3.968 2.291 4.803
Sb 3.968 2.291 0.011



[5]
10
Lattice="-1.559 3.795 -1.373 -4.882 0.472 6.845 8.810 2.235 2.991" Properties=species:S:1:pos:R:3 comment="CeHo5Sb4 PBE relaxed" dft_energy_ev_per_atom=-5.21 formation_energy_uncorrected_ev_per_atom=-0.680 pbc="T T T"
Ho 3.791 4.788 2.113
Ho -1.422 1.714 6.350
Ce -0.779 1.897 -0.687
Sb 0.809 3.141 7.764
Ho 1.168 4.843 5.244
Ho 1.201 1.658 3.219
Ho -3.220 2.133 2.736
Sb -1.114 0.217 1.863
Sb 3.483 6.284 6.600
Sb 1.561 3.360 0.699



[6]
12
Lattice="7.661 0.189 1.165 1.884 6.503 3.791 0.129 0.070 7.758" Properties=species:S:1:pos:R:3 comment="Ce5HoSb6 PBE relaxed" dft_energy_ev_per_atom=-5.97 formation_energy_uncorrected_ev_per_atom=-1.050 pbc="T T T"
Ce 4.234 1.237 6.364
Sb 2.372 1.646 1.222
Ho 0.000 0.000 0.000
Ce 4.773 3.346 2.478
Sb 3.039 3.898 5.075
Ce 5.440 5.525 6.350
Ce 0.672 2.195 3.842
Sb 3.704 6.065 8.970
Sb 6.635 2.864 7.639
Ce 1.341 4.378 7.707
Sb 5.970 0.698 3.744
Sb 7.173 5.046 3.734



[7]
8
Lattice="4.358 0.000 0.000 0.000 7.523 0.129 0.000 -2.632 7.073" Properties=species:S:1:pos:R:3 comment="CeHo2ScSb4 PBE relaxed" dft_energy_ev_per_atom=-5.77 formation_energy_uncorrected_ev_per_atom=-1.033 pbc="T T T"
Sb 0.000 5.052 1.868
Sb 2.179 1.160 1.750
Ce 2.179 3.761 0.065
Sb 2.179 3.731 5.451
Ho 2.179 -1.316 3.536
Ho 0.000 2.445 3.601
Sb 0.000 -0.161 5.334
Sc 0.000 0.000 0.000



[8]
8
Lattice="-3.044 1.535 -2.768 3.943 -2.783 -5.880 -4.887 -5.227 2.476" Properties=species:S:1:pos:R:3 comment="Ce2HoScSb4 PBE relaxed" dft_energy_ev_per_atom=-5.93 formation_energy_uncorrected_ev_per_atom=-1.024 pbc="T T T"
Sb -2.264 -5.358 -3.965
Sb 1.803 -3.338 -3.834
Ce -0.472 -4.005 -1.702
Sb -1.724 -1.116 -2.207
Sc 0.000 0.000 0.000
Ce -3.965 -1.846 -0.146
Ho 0.450 -0.624 -4.324
Sb -2.747 -4.671 0.430



[9]
8
Lattice="-2.325 -1.638 -3.392 5.661 -4.934 -1.496 -1.164 -6.484 3.929" Properties=species:S:1:pos:R:3 comment="CeSmHo2Sb4 PBE relaxed" dft_energy_ev_per_atom=-5.65 formation_energy_uncorrected_ev_per_atom=-1.112 pbc="T T T"
Ce 2.249 -5.709 1.216
Sb 3.413 -8.579 1.804
Sb 2.836 -6.160 -1.857
Ho -1.164 -6.484 3.929
Sb -0.663 -6.897 0.897
Sm 1.668 -3.286 -2.444
Sb -1.241 -4.477 -2.764
Ho -1.744 -4.061 0.268



[10]
12
Lattice="4.462 0.000 0.000 0.000 8.928 0.310 -2.231 -2.579 9.374" Properties=species:S:1:pos:R:3 comment="Ce2Sm3HoSb6 PBE relaxed" dft_energy_ev_per_atom=-5.73 formation_energy_uncorrected_ev_per_atom=-1.122 pbc="T T T"
Sb 2.231 4.348 3.311
Ce 0.000 2.107 3.207
Ce 2.231 4.242 6.477
Sb 0.000 2.002 6.373
Sb 0.000 6.465 6.570
Sm 2.231 -0.238 6.292
Sb 0.000 6.736 0.243
Sm 0.000 6.587 3.392
Ho 2.231 0.000 0.000
Sb 2.231 -0.387 9.441
Sm 2.231 4.464 0.155
Sb 2.231 -0.116 3.114



[11]
8
Lattice="-3.892 1.355 -1.679 0.160 -5.809 -5.057 -3.577 -2.304 6.432" Properties=species:S:1:pos:R:3 comment="CeSm2HoSb4 PBE relaxed" dft_energy_ev_per_atom=-5.68 formation_energy_uncorrected_ev_per_atom=-1.127 pbc="T T T"
Sb -2.652 -3.173 3.586
Sb -2.783 -1.315 -0.507
Sb -4.526 -5.443 0.203
Ho 0.000 0.000 0.000
Sm -3.735 -0.475 2.376
Sm -1.708 -4.056 0.688
Ce -1.866 -2.227 -3.368
Sb -0.765 -4.940 -2.211



Copy entry 3 word for word.
22
Lattice="8.730 0.080 -0.154 0.153 8.729 -0.154 -0.081 -0.080 8.731" Properties=species:S:1:pos:R:3 comment="Ce4HoSb6 PBE relaxed" dft_energy_ev_per_atom=-5.72 formation_energy_uncorrected_ev_per_atom=-0.895 pbc="T T T"
Ce 6.533 3.146 7.350
Ce 7.529 2.222 2.984
Sb 5.882 0.627 0.574
Sb 0.733 2.853 0.517
Sb 5.106 3.817 1.357
Ce 2.160 2.142 6.471
Sb 4.925 1.512 4.940
Sb 1.543 3.656 3.694
Sb 8.108 0.709 5.723
Ho 4.401 4.365 4.211
Ce 1.273 6.507 5.439
Ce 2.269 5.584 1.073
Ho 0.000 0.000 0.000
Sb 0.694 8.020 2.700
Sb 8.070 5.877 7.906
Sb 7.260 5.074 4.729
Sb 2.920 8.102 7.849
Ce 3.156 1.219 2.106
Sb 3.878 7.217 3.483
Ce 5.646 7.510 6.317
Sb 3.697 4.912 7.066
Ce 6.642 6.587 1.952



Copy entry 10 word for word.
12
Lattice="4.462 0.000 0.000 0.000 8.928 0.310 -2.231 -2.579 9.374" Properties=species:S:1:pos:R:3 comment="Ce2Sm3HoSb6 PBE relaxed" dft_energy_ev_per_atom=-5.73 formation_energy_uncorrected_ev_per_atom=-1.122 pbc="T T T"
Sb 2.231 4.348 3.311
Ce 0.000 2.107 3.207
Ce 2.231 4.242 6.477
Sb 0.000 2.002 6.373
Sb 0.000 6.465 6.570
Sm 2.231 -0.238 6.292
Sb 0.000 6.736 0.243
Sm 0.000 6.587 3.392
Ho 2.231 0.000 0.000
Sb 2.231 -0.387 9.441
Sm 2.231 4.464 0.155
Sb 2.231 -0.116 3.114